No. 1
## SrFe2Co (GGA-PBEsol)

Data for a geometry-optimized SrFe2Co structure.

Values from the calculation:
For the density of states at the Fermi level, the calculation gives 5.76 states/eV/cell. The symmetry is R-3m, No. 166. The calculation puts the formation energy at 0.350 eV per atom.

Unit cell a=5.830 b=5.830 c=5.830 alpha=40.08 beta=40.08 gamma=40.08
Positions (direct):
Sr1 0.000 0.000 0.000
Fe1 0.191 0.191 0.191
Fe2 0.809 0.809 0.809
Co1 0.500 0.500 0.500

No. 2
## SrFe2Co (GGA-PBEsol)

Data for a geometry-optimized SrFe2Co structure.

Values from the calculation:
For the density of states at the Fermi level, the calculation gives 4.22 states/eV/cell. The symmetry is Fm-3m, No. 225. The calculation puts the formation energy at 0.921 eV per atom.

Unit cell a=4.419 b=4.419 c=4.419 alpha=60.00 beta=60.00 gamma=60.00
Positions (direct):
Sr1 0.000 0.000 0.000
Fe1 0.250 0.250 0.250
Fe2 0.750 0.750 0.750
Co1 0.500 0.500 0.500

No. 3
## SrFe2Co (GGA-PBEsol)

Data for a geometry-optimized SrFe2Co structure.

Values from the calculation:
For the density of states at the Fermi level, the calculation gives 2.87 states/eV/cell. The symmetry is P4mm, No. 99. The calculation puts the formation energy at 0.528 eV per atom.

Unit cell a=3.092 b=3.092 c=6.827 alpha=90.00 beta=90.00 gamma=90.00
Positions (direct):
Sr1 0.000 0.000 0.000
Fe1 0.000 0.000 0.490
Fe2 0.500 0.500 0.656
Co1 0.500 0.500 0.330

No. 4
## SrFe2Co (GGA-PBEsol)

Data for a geometry-optimized SrFe2Co structure.

Values from the calculation:
For the density of states at the Fermi level, the calculation gives 4.38 states/eV/cell. The symmetry is Pmmm, No. 47. The calculation puts the formation energy at 0.571 eV per atom.

Unit cell a=2.892 b=3.268 c=6.876 alpha=90.00 beta=90.00 gamma=90.00
Positions (direct):
Sr1 0.000 0.000 0.000
Fe1 0.500 0.500 0.339
Fe2 0.500 0.500 0.661
Co1 0.000 0.000 0.500

No. 5
## SrFe2Co (GGA-PBEsol)

Data for a geometry-optimized SrFe2Co structure.

Values from the calculation:
For the density of states at the Fermi level, the calculation gives 5.94 states/eV/cell. The symmetry is P4/mmm, No. 123. The calculation puts the formation energy at 0.958 eV per atom.

Unit cell a=3.785 b=3.785 c=4.359 alpha=90.00 beta=90.00 gamma=90.00
Positions (direct):
Sr1 0.000 0.000 0.000
Fe1 0.000 0.500 0.500
Fe2 0.500 0.000 0.500
Co1 0.500 0.500 0.000

No. 6
## SrFeCo2 (GGA-PBEsol)

Data for a geometry-optimized SrFeCo2 structure.

Values from the calculation:
For the density of states at the Fermi level, the calculation gives 4.18 states/eV/cell. The symmetry is P4/mmm, No. 123. The calculation puts the formation energy at 0.485 eV per atom.

Unit cell a=3.008 b=3.008 c=6.874 alpha=90.00 beta=90.00 gamma=90.00
Positions (direct):
Sr1 0.000 0.000 0.000
Fe1 0.000 0.000 0.500
Co1 0.500 0.500 0.329
Co2 0.500 0.500 0.671

No. 7
## SrFeCo (GGA-PBEsol)

Data for a geometry-optimized SrFeCo structure.

Values from the calculation:
For the density of states at the Fermi level, the calculation gives 2.48 states/eV/cell. The symmetry is F-43m, No. 216. The calculation puts the formation energy at 0.962 eV per atom.

Unit cell a=4.425 b=4.425 c=4.425 alpha=60.00 beta=60.00 gamma=60.00
Positions (direct):
Sr1 0.000 0.000 0.000
Fe1 0.500 0.500 0.500
Co1 0.750 0.750 0.750

No. 8
## Ta2FeCo (GGA-PBEsol)

Data for a geometry-optimized Ta2FeCo structure.

Values from the calculation:
For the density of states at the Fermi level, the calculation gives 3.69 states/eV/cell. The symmetry is Amm2, No. 38. The calculation puts the formation energy at -0.198 eV per atom.

Unit cell a=3.962 b=4.937 c=4.937 alpha=34.99 beta=90.00 gamma=90.00
Positions (direct):
Ta1 0.000 0.000 0.000
Ta2 0.500 0.284 0.284
Fe1 0.000 0.734 0.734
Co1 0.500 0.553 0.553

No. 9
## Fe2CoTc (GGA-PBEsol)

Data for a geometry-optimized Fe2CoTc structure.

Values from the calculation:
For the density of states at the Fermi level, the calculation gives 4.96 states/eV/cell. For the energy above the most stable polymorph in this dataset, the calculation gives 0.105 eV/atom. The symmetry is R-3m, No. 166. The calculation puts the formation energy at 0.161 eV per atom.

Unit cell a=8.268 b=8.268 c=8.268 alpha=17.83 beta=17.83 gamma=17.83
Positions (direct):
Fe1 0.247 0.247 0.247
Fe2 0.753 0.753 0.753
Co1 0.500 0.500 0.500
Tc1 0.000 0.000 0.000

No. 10
## FeCoTc (GGA-PBEsol)

Data for a geometry-optimized FeCoTc structure.

Values from the calculation:
For the density of states at the Fermi level, the calculation gives 2.10 states/eV/cell. The symmetry is P-6m2, No. 187. The calculation puts the formation energy at 0.042 eV per atom.

Unit cell a=3.994 b=3.994 c=2.495 alpha=90.00 beta=90.00 gamma=120.00
Positions (direct):
Fe1 0.000 0.000 0.000
Co1 0.667 0.333 0.000
Tc1 0.333 0.667 0.500

No. 11
## Fe2CoTc (GGA-PBEsol)

Data for a geometry-optimized Fe2CoTc structure.

Values from the calculation:
For the density of states at the Fermi level, the calculation gives 5.29 states/eV/cell. For the energy above the most stable polymorph in this dataset, the calculation gives 0.000 eV/atom. The symmetry is I4/mmm, No. 139. The calculation puts the formation energy at 0.056 eV per atom.

Unit cell a=4.274 b=4.274 c=4.274 alpha=131.03 beta=131.03 gamma=71.77
Positions (direct):
Fe1 0.250 0.750 0.500
Fe2 0.750 0.250 0.500
Co1 0.000 0.000 0.000
Tc1 0.500 0.500 0.000

No. 12
## Fe2CoTc (GGA-PBEsol)

Data for a geometry-optimized Fe2CoTc structure.

Values from the calculation:
For the density of states at the Fermi level, the calculation gives 5.39 states/eV/cell. For the energy above the most stable polymorph in this dataset, the calculation gives 0.051 eV/atom. The symmetry is Cm, No. 8. The calculation puts the formation energy at 0.108 eV per atom.

Unit cell a=4.347 b=4.347 c=4.344 alpha=99.60 beta=99.60 gamma=33.79
Positions (direct):
Fe1 0.000 0.000 0.000
Fe2 0.748 0.748 0.244
Co1 0.255 0.255 0.757
Tc1 0.504 0.504 0.506